A plane-wave DFT calculation with PBE was carried out for an optimized crystal structure of LiHo2Si2Ir5.

a b c (Å): 9.7885 9.7885 3.3710
angles (deg): 90.00 90.00 90.00
Closest atoms and distances in Å follow each position.
Atoms (fractional coordinates):
1 Li 0.0000 0.0000 0.0000  8 Ir 2.72
2 Li 0.5000 0.5000 0.0000  8 Ir 2.72
3 Ho 0.1736 0.3264 0.0000  3 Si 2.75-2.98, 6 Ir 2.94-3.07
4 Ho 0.3264 0.8264 0.0000  3 Si 2.75-2.98, 6 Ir 2.94-3.07
5 Ho 0.6736 0.1736 0.0000  3 Si 2.75-2.98, 6 Ir 2.94-3.07
6 Ho 0.8264 0.6736 0.0000  3 Si 2.75-2.98, 6 Ir 2.94-3.07
7 Si 0.1276 0.6276 0.0000  6 Ir 2.41-2.44
8 Si 0.3724 0.1276 0.0000  6 Ir 2.41-2.44
9 Si 0.6276 0.8724 0.0000  6 Ir 2.41-2.44
10 Si 0.8724 0.3724 0.0000  6 Ir 2.41-2.44
11 Ir 0.0000 0.5000 0.5000  4 Si 2.44
12 Ir 0.0661 0.7918 0.5000  2 Si 2.41
13 Ir 0.2082 0.0661 0.5000  2 Si 2.41
14 Ir 0.2918 0.5661 0.5000  2 Si 2.41
15 Ir 0.4339 0.2918 0.5000  2 Si 2.41
16 Ir 0.5000 0.0000 0.5000  4 Si 2.44
17 Ir 0.5661 0.7082 0.5000  2 Si 2.41
18 Ir 0.7082 0.4339 0.5000  2 Si 2.41
19 Ir 0.7918 0.9339 0.5000  2 Si 2.41
20 Ir 0.9339 0.2082 0.5000  2 Si 2.41

- M_tot (μB per formula unit) = 0.000
- formation energy without anion corrections (meV/atom) = -755
- volume (Å³/f.u.) = 161.50

***

A plane-wave DFT calculation with PBE was carried out for an optimized crystal structure of LiSmHoIr.

a b c (Å): 4.9582 4.9582 4.9582
angles (deg): 60.00 60.00 60.00
Closest atoms and distances in Å follow each position.
Atoms (fractional coordinates):
1 Li 0.0000 0.0000 0.0000  4 Ho 3.04, 4 Sm 3.04
2 Sm 0.7500 0.7500 0.7500  4 Li 3.04, 4 Ir 3.04
3 Ho 0.2500 0.2500 0.2500  4 Ir 3.04, 4 Li 3.04
4 Ir 0.5000 0.5000 0.5000  4 Ho 3.04, 4 Sm 3.04

- M_tot (μB per formula unit) = 0.000
- DFT formation energy (eV per formula unit) = -2.09
- volume (Å³/f.u.) = 86.19

***

A plane-wave DFT calculation with PBE was carried out for an optimized crystal structure of LiHoSnIr.

a b c (Å): 4.7246 4.7246 4.7246
angles (deg): 60.00 60.00 60.00
Closest atoms and distances in Å follow each position.
Atoms (fractional coordinates):
1 Li 0.0000 0.0000 0.0000  4 Sn 2.89, 4 Ho 2.89
2 Ho 0.2500 0.2500 0.2500  4 Ir 2.89, 4 Li 2.89
3 Sn 0.7500 0.7500 0.7500  4 Ir 2.89, 4 Li 2.89
4 Ir 0.5000 0.5000 0.5000  4 Sn 2.89, 4 Ho 2.89

- M_tot (μB per formula unit) = 0.000
- DFT formation energy (eV per formula unit) = -2.70
- volume (Å³/f.u.) = 74.57

***

A plane-wave DFT calculation with PBE was carried out for an optimized crystal structure of SrLiHoIr.

a b c (Å): 5.0577 5.0577 5.0577
angles (deg): 60.00 60.00 60.00
Closest atoms and distances in Å follow each position.
Atoms (fractional coordinates):
1 Sr 0.0000 0.0000 0.0000  4 Li 3.10, 4 Ir 3.10
2 Li 0.7500 0.7500 0.7500  4 Ho 3.10, 4 Sr 3.10
3 Ho 0.5000 0.5000 0.5000  4 Li 3.10, 4 Ir 3.10
4 Ir 0.2500 0.2500 0.2500  4 Ho 3.10, 4 Sr 3.10

- M_tot (μB per formula unit) = 0.000
- DFT formation energy (eV per formula unit) = -0.99
- volume (Å³/f.u.) = 91.49

***

A plane-wave DFT calculation with PBE was carried out for an optimized crystal structure of LiTbHoIr.

a b c (Å): 4.9139 4.9139 4.9139
angles (deg): 60.00 60.00 60.00
Closest atoms and distances in Å follow each position.
Atoms (fractional coordinates):
1 Li 0.0000 0.0000 0.0000  4 Tb 3.01, 4 Ho 3.01
2 Tb 0.7500 0.7500 0.7500  4 Li 3.01, 4 Ir 3.01
3 Ho 0.2500 0.2500 0.2500  4 Li 3.01, 4 Ir 3.01
4 Ir 0.5000 0.5000 0.5000  4 Tb 3.01, 4 Ho 3.01

- M_tot (μB per formula unit) = 0.000
- DFT formation energy (eV per formula unit) = -2.29
- volume (Å³/f.u.) = 83.90

***

A plane-wave DFT calculation with PBE was carried out for an optimized crystal structure of LiHoTiIr.

a b c (Å): 4.6556 4.6556 4.6556
angles (deg): 60.00 60.00 60.00
Closest atoms and distances in Å follow each position.
Atoms (fractional coordinates):
1 Li 0.0000 0.0000 0.0000  4 Ho 2.85, 4 Ti 2.85
2 Ho 0.7500 0.7500 0.7500  4 Ir 2.85, 4 Li 2.85
3 Ti 0.2500 0.2500 0.2500  4 Ir 2.85, 4 Li 2.85
4 Ir 0.5000 0.5000 0.5000  4 Ti 2.85, 4 Ho 2.85

- M_tot (μB per formula unit) = 0.488
- DFT formation energy (eV per formula unit) = -1.65
- volume (Å³/f.u.) = 71.35

***

A plane-wave DFT calculation with PBE was carried out for an optimized crystal structure of LiYHoIr.

a b c (Å): 4.9105 4.9105 4.9105
angles (deg): 60.00 60.00 60.00
Closest atoms and distances in Å follow each position.
Atoms (fractional coordinates):
1 Li 0.0000 0.0000 0.0000  4 Ho 3.01, 4 Y 3.01
2 Y 0.7500 0.7500 0.7500  4 Li 3.01, 4 Ir 3.01
3 Ho 0.2500 0.2500 0.2500  4 Li 3.01, 4 Ir 3.01
4 Ir 0.5000 0.5000 0.5000  4 Ho 3.01, 4 Y 3.01

- M_tot (μB per formula unit) = 0.000
- DFT formation energy (eV per formula unit) = -2.30
- volume (Å³/f.u.) = 83.73

***

A plane-wave DFT calculation with PBE was carried out for an optimized crystal structure of LiHoZrIr.

a b c (Å): 4.7815 4.7815 4.7815
angles (deg): 60.00 60.00 60.00
Closest atoms and distances in Å follow each position.
Atoms (fractional coordinates):
1 Li 0.0000 0.0000 0.0000  4 Ho 2.93, 4 Zr 2.93
2 Ho 0.7500 0.7500 0.7500  4 Li 2.93, 4 Ir 2.93
3 Zr 0.2500 0.2500 0.2500  4 Ir 2.93, 4 Li 2.93
4 Ir 0.5000 0.5000 0.5000  4 Ho 2.93, 4 Zr 2.93

- M_tot (μB per formula unit) = 0.001
- DFT formation energy (eV per formula unit) = -1.96
- volume (Å³/f.u.) = 77.30

***

A plane-wave DFT calculation with PBE was carried out for an optimized crystal structure of HoLuIr2.

a b c (Å): 4.7845 4.7845 4.7845
angles (deg): 60.00 60.00 60.00
Closest atoms and distances in Å follow each position.
Atoms (fractional coordinates):
1 Ho 0.0000 0.0000 0.0000  8 Ir 2.93
2 Lu 0.5000 0.5000 0.5000  8 Ir 2.93
3 Ir 0.2500 0.2500 0.2500  4 Lu 2.93, 4 Ho 2.93
4 Ir 0.7500 0.7500 0.7500  4 Lu 2.93, 4 Ho 2.93

- M_tot (μB per formula unit) = 0.001
- DFT formation energy (eV per formula unit) = -3.60
- distance to the lowest polymorph of the same formula (eV/atom) = 0.008
- volume (Å³/f.u.) = 77.44

***

A plane-wave DFT calculation with PBE was carried out for an optimized crystal structure of Ho2LuIr.

a b c (Å): 9.5258 9.5258 9.5258
angles (deg): 22.98 22.98 22.98
Closest atoms and distances in Å follow each position.
Atoms (fractional coordinates):
1 Ho 0.2259 0.2259 0.2259  3 Ir 2.74
2 Ho 0.7741 0.7741 0.7741  3 Ir 2.74
3 Lu 0.0000 0.0000 0.0000  6 Ho 3.70, 6 Lu 3.80
4 Ir 0.5000 0.5000 0.5000  6 Ho 2.74

- M_tot (μB per formula unit) = 0.859
- DFT formation energy (eV per formula unit) = -1.14
- distance to the lowest polymorph of the same formula (eV/atom) = 0.108
- volume (Å³/f.u.) = 115.65

***

A plane-wave DFT calculation with PBE was carried out for an optimized crystal structure of HoLuIr4.

a b c (Å): 5.3314 5.3314 5.3314
angles (deg): 60.00 60.00 60.00
Closest atoms and distances in Å follow each position.
Atoms (fractional coordinates):
1 Ho 0.0000 0.0000 0.0000  12 Ir 3.13, 4 Lu 3.26
2 Lu 0.2500 0.2500 0.2500  12 Ir 3.13, 4 Ho 3.26
3 Ir 0.1252 0.6249 0.6249  6 Ir 2.66-2.67
4 Ir 0.6249 0.1252 0.6249  6 Ir 2.66-2.67
5 Ir 0.6249 0.6249 0.1252  6 Ir 2.66-2.67
6 Ir 0.6249 0.6249 0.6249  6 Ir 2.66-2.67

- M_tot (μB per formula unit) = 0.000
- DFT formation energy (eV per formula unit) = -4.94
- volume (Å³/f.u.) = 107.16

***

A plane-wave DFT calculation with PBE was carried out for an optimized crystal structure of Ho2LuIr.

a b c (Å): 3.4857 3.4857 8.5363
angles (deg): 90.00 90.00 90.00
Closest atoms and distances in Å follow each position.
Atoms (fractional coordinates):
1 Ho 0.0000 0.0000 0.1882  4 Ir 2.94, 1 Ho 3.21
2 Ho 0.0000 0.0000 0.8118  4 Ir 2.94, 1 Ho 3.21
3 Lu 0.5000 0.5000 0.5000  4 Lu 3.49, 8 Ho 3.63
4 Ir 0.5000 0.5000 0.0000  8 Ho 2.94

- M_tot (μB per formula unit) = 0.100
- DFT formation energy (eV per formula unit) = -1.57
- distance to the lowest polymorph of the same formula (eV/atom) = 0.000
- volume (Å³/f.u.) = 103.71

***

A plane-wave DFT calculation with PBE was carried out for an optimized crystal structure of HoLuIr2.

a b c (Å): 4.6685 4.6685 3.5457
angles (deg): 90.00 90.00 90.00
Closest atoms and distances in Å follow each position.
Atoms (fractional coordinates):
1 Ho 0.0000 0.0000 0.0000  8 Ir 2.93
2 Lu 0.5000 0.5000 0.0000  8 Ir 2.93
3 Ir 0.0000 0.5000 0.5000  4 Lu 2.93, 4 Ho 2.93
4 Ir 0.5000 0.0000 0.5000  4 Lu 2.93, 4 Ho 2.93

- M_tot (μB per formula unit) = 0.000
- DFT formation energy (eV per formula unit) = -3.63
- distance to the lowest polymorph of the same formula (eV/atom) = 0.000
- volume (Å³/f.u.) = 77.28

***

A plane-wave DFT calculation with PBE was carried out for an optimized crystal structure of HoLu3Ir.

a b c (Å): 5.3158 5.3158 5.3158
angles (deg): 90.00 90.00 90.00
Closest atoms and distances in Å follow each position.
Atoms (fractional coordinates):
1 Ho 0.0000 0.0000 0.0000  12 Lu 3.76
2 Lu 0.0000 0.5000 0.5000  2 Ir 2.66
3 Lu 0.5000 0.0000 0.5000  2 Ir 2.66
4 Lu 0.5000 0.5000 0.0000  2 Ir 2.66
5 Ir 0.5000 0.5000 0.5000  6 Lu 2.66

- M_tot (μB per formula unit) = 0.000
- DFT formation energy (eV per formula unit) = -1.51
- volume (Å³/f.u.) = 150.21

***

A plane-wave DFT calculation with PBE was carried out for an optimized crystal structure of HoLuIr.

a b c (Å): 4.7462 4.7462 4.7462
angles (deg): 60.00 60.00 60.00
Closest atoms and distances in Å follow each position.
Atoms (fractional coordinates):
1 Ho 0.0000 0.0000 0.0000  4 Ir 2.91
2 Lu 0.5000 0.5000 0.5000  4 Ir 2.91
3 Ir 0.2500 0.2500 0.2500  4 Ho 2.91, 4 Lu 2.91

- M_tot (μB per formula unit) = 0.000
- DFT formation energy (eV per formula unit) = -2.28
- distance to the lowest polymorph of the same formula (eV/atom) = 0.000
- volume (Å³/f.u.) = 75.60

***

A plane-wave DFT calculation with PBE was carried out for an optimized crystal structure of HoLuIr.

a b c (Å): 6.7161 6.7161 6.7161
angles (deg): 150.55 150.55 42.14
Closest atoms and distances in Å follow each position.
Atoms (fractional coordinates):
1 Ho 0.0000 0.0000 0.0000  4 Ir 2.93, 1 Lu 3.24
2 Lu 0.2588 0.2588 0.0000  4 Ir 2.89
3 Ir 0.6325 0.6325 0.0000  4 Lu 2.89, 4 Ho 2.93

- M_tot (μB per formula unit) = 0.000
- DFT formation energy (eV per formula unit) = -1.89
- distance to the lowest polymorph of the same formula (eV/atom) = 0.128
- volume (Å³/f.u.) = 73.07

***

A plane-wave DFT calculation with PBE was carried out for an optimized crystal structure of HoLuMgIr.

a b c (Å): 4.9606 4.9606 4.9606
angles (deg): 60.00 60.00 60.00
Closest atoms and distances in Å follow each position.
Atoms (fractional coordinates):
1 Ho 0.0000 0.0000 0.0000  4 Mg 3.04, 4 Ir 3.04
2 Lu 0.5000 0.5000 0.5000  4 Mg 3.04, 4 Ir 3.04
3 Mg 0.7500 0.7500 0.7500  4 Ho 3.04, 4 Lu 3.04
4 Ir 0.2500 0.2500 0.2500  4 Ho 3.04, 4 Lu 3.04

- M_tot (μB per formula unit) = 0.000
- DFT formation energy (eV per formula unit) = -2.00
- volume (Å³/f.u.) = 86.32

***

A plane-wave DFT calculation with PBE was carried out for an optimized crystal structure of HoLuMnIr.

a b c (Å): 4.8476 4.8476 4.8476
angles (deg): 60.00 60.00 60.00
Closest atoms and distances in Å follow each position.
Atoms (fractional coordinates):
1 Ho 0.0000 0.0000 0.0000  4 Mn 2.97, 4 Ir 2.97
2 Lu 0.5000 0.5000 0.5000  4 Mn 2.97, 4 Ir 2.97
3 Mn 0.7500 0.7500 0.7500  4 Lu 2.97, 4 Ho 2.97
4 Ir 0.2500 0.2500 0.2500  4 Lu 2.97, 4 Ho 2.97

- M_tot (μB per formula unit) = 3.302
- DFT formation energy (eV per formula unit) = -1.48
- volume (Å³/f.u.) = 80.55

***

A plane-wave DFT calculation with PBE was carried out for an optimized crystal structure of HoLuIrOs.

a b c (Å): 4.7656 4.7656 4.7656
angles (deg): 60.00 60.00 60.00
Closest atoms and distances in Å follow each position.
Atoms (fractional coordinates):
1 Ho 0.0000 0.0000 0.0000  4 Ir 2.92, 4 Os 2.92
2 Lu 0.5000 0.5000 0.5000  4 Os 2.92, 4 Ir 2.92
3 Ir 0.7500 0.7500 0.7500  4 Lu 2.92, 4 Ho 2.92
4 Os 0.2500 0.2500 0.2500  4 Lu 2.92, 4 Ho 2.92

- M_tot (μB per formula unit) = 0.000
- DFT formation energy (eV per formula unit) = -2.17
- volume (Å³/f.u.) = 76.53

***

A plane-wave DFT calculation with PBE was carried out for an optimized crystal structure of HoLuIrPd.

a b c (Å): 4.8345 4.8345 4.8345
angles (deg): 60.00 60.00 60.00
Closest atoms and distances in Å follow each position.
Atoms (fractional coordinates):
1 Ho 0.0000 0.0000 0.0000  4 Pd 2.96, 4 Ir 2.96
2 Lu 0.5000 0.5000 0.5000  4 Ir 2.96, 4 Pd 2.96
3 Ir 0.2500 0.2500 0.2500  4 Lu 2.96, 4 Ho 2.96
4 Pd 0.7500 0.7500 0.7500  4 Lu 2.96, 4 Ho 2.96

- M_tot (μB per formula unit) = 0.000
- DFT formation energy (eV per formula unit) = -3.88
- volume (Å³/f.u.) = 79.90